Ce8Ge3PI4 | PBE | optimized geometry

abc: 8.9126 8.9126 8.9126
angles: 57.93 57.93 57.93
Fractional positions:
Ce: 0.2379 0.2379 0.2379
Ce: 0.2455 0.7309 0.7309
Ce: 0.2691 0.2691 0.7545
Ce: 0.2691 0.7545 0.2691
Ce: 0.7309 0.2455 0.7309
Ce: 0.7309 0.7309 0.2455
Ce: 0.7545 0.2691 0.2691
Ce: 0.7621 0.7621 0.7621
Ge: 0.0000 0.0000 0.5000
Ge: 0.0000 0.5000 0.0000
Ge: 0.5000 0.0000 0.0000
P: 0.5000 0.5000 0.5000
I: 0.0000 0.0000 0.0000
I: 0.0000 0.5000 0.5000
I: 0.5000 0.0000 0.5000
I: 0.5000 0.5000 0.0000

Results
density: 6.54 Mg/m³
energy: -5.515 eV/atom
crystal system: trigonal
symmetry: No. 166
formation energy (no corrections): -0.956 eV per atom

---

Er2CdInAu4 | PBE | optimized geometry

abc: 8.4995 8.4995 8.4995
angles: 33.63 33.63 33.63
Fractional positions:
Er: 0.2501 0.2501 0.2501
Er: 0.7499 0.7499 0.7499
Cd: 0.0000 0.0000 0.0000
In: 0.5000 0.5000 0.5000
Au: 0.1245 0.1245 0.1245
Au: 0.3748 0.3748 0.3748
Au: 0.6252 0.6252 0.6252
Au: 0.8755 0.8755 0.8755

Results
density: 13.35 Mg/m³
formation energy: -0.688 eV/atom
energy: -3.924 eV/atom
crystal system: trigonal
symmetry: No. 166

---

Mg4Zn2Cu | PBE | optimized geometry

abc: 7.8016 7.8016 7.8016
angles: 34.06 34.06 34.06
Fractional positions:
Mg: 0.1228 0.1228 0.1228
Mg: 0.3739 0.3739 0.3739
Mg: 0.6261 0.6261 0.6261
Mg: 0.8772 0.8772 0.8772
Zn: 0.2478 0.2478 0.2478
Zn: 0.7522 0.7522 0.7522
Cu: 0.5000 0.5000 0.5000

Results
density: 3.65 Mg/m³
formation energy: -0.042 eV/atom
energy: -1.902 eV/atom
distance to the lowest polymorph of the same formula: 0 meV/atom
crystal system: trigonal
symmetry: No. 166

---

BaFeTe2 | PBE | optimized geometry

abc: 6.5744 6.5744 6.1724
angles: 99.34 99.34 35.28
Fractional positions:
Ba: 0.0000 0.0000 0.0000
Fe: 0.1307 0.1307 0.6059
Te: 0.5023 0.5023 0.4594
Te: 0.7183 0.7183 0.8549

Results
density: 4.90 Mg/m³
energy: -4.641 eV/atom
crystal system: monoclinic
symmetry: No. 8
formation energy (no corrections): -0.474 eV per atom

---

> Among the records above, which one has the lowest energy?

Ce8Ge3PI4

---

> Among the records above, which one has the highest energy?

Mg4Zn2Cu

---

> Among the records above, which one has the highest energy?

Mg4Zn2Cu